Entry 1:
Density functional theory data (PBE-GGA) for a relaxed CsInBr3 crystal.

```
10
Lattice="-5.7078 -1.1195 -0.7654 3.8234 -1.1902 -4.2875 1.5078 -10.6222 4.2933" Properties=species:S:1:pos:R:3 pbc="T T T"
Cs 1.7772 -9.1333 0.1065
Cs -2.1538 -3.7987 -0.8661
Br 0.3769 -2.6556 1.0733
Br 1.1308 -7.9667 3.2200
Br 0.7371 -1.8060 -2.8551
Br 1.3095 -5.8385 -1.2252
Br -1.6861 -7.0935 0.4656
Br -1.1137 -11.1260 2.0954
In 0.0000 0.0000 0.0000
In 0.7539 -5.3111 2.1466
```

Calculated values
Size of the total moment, μB per atom: 0.00
Calculated density, kg/m3: 4700
Energy relative to the elements, uncorrected, meV/atom: -960
Total DFT energy (no corrections), eV for the cell shown: -26.82
Fermi-level density of states, states/eV/atom: 0.41

***

Entry 2:
Density functional theory data (PBE-GGA) for a relaxed CsIn3Br6 crystal.

```
20
Lattice="-3.7915 7.7775 -0.9998 -5.1880 -3.2130 -5.3208 -7.3524 -2.4794 8.6661" Properties=species:S:1:pos:R:3 pbc="T T T"
Cs -8.1659 1.0425 1.1728
Cs 0.0000 0.0000 0.0000
In -12.3638 -0.9442 1.5768
In -4.4897 2.2823 -3.1603
In -3.9681 3.0293 0.7688
In -5.2683 -2.6497 -0.6939
In -3.6762 -1.2397 4.3331
In -11.0636 4.7348 3.0394
Br -10.4220 1.8706 6.6424
Br -8.0024 3.8853 3.6098
Br -6.5044 2.8937 -1.4338
Br -9.8274 -0.8086 3.7794
Br -8.3295 -1.8002 -1.2642
Br -5.9099 0.2145 -4.2969
Br -5.4312 -1.1384 2.2132
Br -3.4691 0.5929 -1.2886
Br -5.8015 -0.6967 5.9461
Br -10.5303 2.7818 -3.6006
Br -12.8627 1.4921 3.6342
Br -10.9006 3.2235 0.1324
```

Calculated values
Size of the total moment, μB per atom: 0.00
Calculated density, kg/m3: 3874
Energy relative to the elements, uncorrected, meV/atom: -947
Total DFT energy (no corrections), eV for the cell shown: -57.16
Fermi-level density of states, states/eV/atom: 0.00

***

Entry 3:
Density functional theory data (PBE-GGA) for a relaxed Cs2In2Br crystal.

```
5
Lattice="-2.1932 2.1932 11.3245 2.1932 -2.1932 11.3245 2.1932 2.1932 -11.3245" Properties=species:S:1:pos:R:3 pbc="T T T"
Cs 0.0000 0.0000 13.4509
Cs 0.0000 0.0000 9.1982
In 0.0000 2.1932 5.6623
In 2.1932 0.0000 5.6623
Br 0.0000 0.0000 0.0000
```

Calculated values
Size of the total moment, μB per atom: 0.00
Calculated density, kg/m3: 4385
Energy relative to the elements, uncorrected, meV/atom: -695
Total DFT energy (no corrections), eV for the cell shown: -12.33
Fermi-level density of states, states/eV/atom: 0.35